(1)
DFT (PBE) results for crystalline TaTc2Pb at its relaxed geometry.

abc: 3.1404 3.1404 25.9550
angles: 90.00 90.00 120.00
Space group R-3m (No. 166, hexagonal axes)
Symmetry-distinct sites (fractional):
1 Ta 0.0000 0.0000 0.0000 x3
2 Tc 0.0000 0.0000 0.2582 x6
3 Pb 0.0000 0.0000 0.5000 x3

Summary:
Total energy = -104.5 eV/cell
D(E_F) = 13.660 states/eV per cell
Volume = 18.473 Å³ per atom

---

(2)
DFT (PBE) results for crystalline Pm2Pr7Er2 at its relaxed geometry.

abc: 10.052 9.562 8.456
angles: 90.00 105.28 90.00
Space group C2/m (No. 12)
Symmetry-distinct sites (fractional):
1 Pm 0.083 0.000 0.325 x4
2 Pr 0.000 0.500 0.500 x2
3 Pr 0.201 0.203 0.679 x8
4 Pr 0.217 0.000 0.026 x4
5 Er 0.000 0.294 0.000 x4

Summary:
Total energy = -100.6 eV/cell
D(E_F) = 32.247 states/eV per cell
Relative energy among the computed polymorphs = 31 meV per atom
Volume = 35.637 Å³ per atom

---

Q: The highest total energy belongs to which entry?
A: Pm2Pr7Er2

---

Q: Number 1 is which compound?
A: TaTc2Pb